# 1
The following is a DFT calculation (GGA-PBE) of an optimized crystal structure of PtAuCl.

The structure in extended XYZ format:
```
3
Lattice="-6.551 0.697 -2.501 -4.561 0.163 -4.875 -1.817 -2.304 1.128" Properties=species:S:1:pos:R:3 pbc="T T T"
Au -1.863 -2.289 1.086
Cl -4.811 -1.285 -1.611
Pt -8.072 -0.175 -4.595
```

Results
ΔE_f (raw)   310 meV per atom
DFT total energy   -3.412 eV per atom
Energy above the most stable polymorph in this dataset   0.0000 eV/atom
Fermi-level density of states   2.95 states/eV per cell

# 2
The following is a DFT calculation (GGA-PBE) of an optimized crystal structure of SrMg15.

The structure in extended XYZ format:
```
16
Lattice="-2.699 3.233 -5.075 1.976 -6.248 -0.746 -9.535 -3.366 2.927" Properties=species:S:1:pos:R:3 pbc="T T T"
Sr -4.767 -1.683 1.464
Mg 0.000 0.000 0.000
Mg -3.800 -4.805 1.024
Mg -1.704 0.109 -5.424
Mg -5.101 -3.248 -1.420
Mg -0.372 -1.486 -2.920
Mg -4.149 -6.257 -1.780
Mg -1.347 1.596 -2.552
Mg -2.074 -2.383 -0.415
Mg -7.035 -4.134 1.108
Mg -1.106 -5.442 -0.780
Mg -6.067 -7.194 0.743
Mg -2.428 -3.859 -3.266
Mg -7.389 -5.610 -1.743
Mg -3.617 -0.801 -2.872
Mg -8.199 -2.419 -1.465
```

Results
ΔH_f (0 K)   3.5 kJ per mole of atoms
DFT total energy   -1.564 eV per atom
Fermi-level density of states   7.05 states/eV per cell

# 3
The following is a DFT calculation (GGA-PBE) of an optimized crystal structure of CsCo4Sb12.

The structure in extended XYZ format:
```
17
Lattice="-2.098 7.733 0.216 -6.367 -4.546 1.742 5.794 -1.347 5.371" Properties=species:S:1:pos:R:3 pbc="T T T"
Cs 0.000 0.000 0.000
Co -3.184 -2.273 0.871
Co -1.049 3.866 0.108
Co -1.336 0.920 3.665
Co 0.799 7.059 2.902
Sb -2.895 4.690 1.724
Sb -2.971 0.124 1.823
Sb 1.062 4.734 4.007
Sb 3.010 0.695 4.879
Sb -3.733 -2.894 3.322
Sb 0.299 1.716 5.506
Sb -0.122 2.689 2.218
Sb -2.549 -0.849 5.112
Sb -5.682 1.144 2.450
Sb -3.078 2.803 4.002
Sb 0.407 -0.963 3.327
Sb 0.223 -2.851 5.605
```

Results
ΔE_f (raw)   -177 meV per atom
DFT total energy   -4.809 eV per atom
Fermi-level density of states   6.62 states/eV per cell